(1)
Ru2PbAu (PBE, optimized geometry); energy relative to the elements = 0.573 eV per atom; crystal system = tetragonal; theoretical density = 14.60 g cm⁻³
1.0
-0.2460 4.4216 -2.3415
-2.6391 -0.5316 -4.2245
-0.9994 -1.3150 4.7292
Ru Au Pb
2 1 1
Direct
0.0000 0.0000 0.0000
0.2500 0.7500 0.5000
0.5000 0.5000 0.0000
0.7500 0.2500 0.5000


(2)
Ru2PbAu (PBE, optimized geometry); energy relative to the elements = 0.700 eV per atom; crystal system = tetragonal; theoretical density = 12.43 g cm⁻³
1.0
4.0741 0.0000 0.0000
0.0000 4.0741 0.0000
2.0371 2.0371 9.7628
Ru Au Pb
4 2 2
Direct
0.3750 0.4659 0.7500
0.2159 0.6250 0.2500
0.5341 0.1250 0.2500
0.8750 0.7841 0.7500
0.2500 0.7500 0.5000
0.5000 0.5000 0.0000
0.7500 0.2500 0.5000
0.0000 0.0000 0.0000